Run w
Entry from the Alexandria database: a relaxed structure of La2ZrTl (PBE).

Values from the calculation:
**Magnetic moment**: 0.00 μB per formula unit
**Calculated density**: 8.03 Mg/m³
**Crystal system**: trigonal
**N(E_F)**: 10.51 states/eV/cell

Unit cell a=3.5317 b=3.5317 c=32.9282 alpha=90.00 beta=90.00 gamma=120.00
Space group R3m (No. 160, hexagonal axes)
Symmetry-distinct sites (fractional):
La  0.0000  0.0000  0.0000 (multiplicity 3)
La  0.0000  0.0000  0.2402 (multiplicity 3)
Zr  0.0000  0.0000  0.4936 (multiplicity 3)
Tl  0.0000  0.0000  0.7521 (multiplicity 3)

***

Run x
Entry from the Alexandria database: a relaxed structure of La2ZrTl (PBE).

Values from the calculation:
**Magnetic moment**: 2.43 μB per formula unit
**Calculated density**: 7.74 Mg/m³
**Crystal system**: cubic
**N(E_F)**: 19.06 states/eV/cell

Unit cell a=7.895 b=7.895 c=7.895 alpha=90.00 beta=90.00 gamma=90.00
Space group Fm-3m (No. 225)
Symmetry-distinct sites (fractional):
La  0.250  0.250  0.250 (multiplicity 8)
Zr  0.000  0.000  0.000 (multiplicity 4)
Tl  0.000  0.000  0.500 (multiplicity 4)

***

Run y
Entry from the Alexandria database: a relaxed structure of La2ZrTl (PBE).

Values from the calculation:
**Magnetic moment**: 0.00 μB per formula unit
**Calculated density**: 7.98 Mg/m³
**Crystal system**: orthorhombic
**N(E_F)**: 11.37 states/eV/cell

Unit cell a=3.616 b=5.743 c=11.484 alpha=90.00 beta=90.00 gamma=90.00
Space group Cmm2 (No. 35)
Symmetry-distinct sites (fractional):
La  0.000  0.000  0.000 (multiplicity 2)
La  0.000  0.500  0.296 (multiplicity 2)
Zr  0.000  0.500  0.765 (multiplicity 2)
Tl  0.000  0.000  0.546 (multiplicity 2)

***

Run z
Entry from the Alexandria database: a relaxed structure of La2ZrTl (PBE).

Values from the calculation:
**Magnetic moment**: 0.00 μB per formula unit
**Calculated density**: 8.24 Mg/m³
**Crystal system**: monoclinic
**N(E_F)**: 8.75 states/eV/cell

Unit cell a=11.621 b=3.416 c=5.864 alpha=90.00 beta=97.16 gamma=90.00
Space group C2/m (No. 12)
Symmetry-distinct sites (fractional):
La  0.242  0.000  0.240 (multiplicity 4)
Zr  0.000  0.000  0.500 (multiplicity 2)
Tl  0.000  0.500  0.000 (multiplicity 2)

***

Most stable one: run w, least stable one: run y.

***

Run w
Entry from the Alexandria database: a relaxed structure of LaZrTl (PBE).

Values from the calculation:
**Magnetic moment**: 0.00 μB per formula unit
**Calculated density**: 8.50 Mg/m³
**Crystal system**: orthorhombic
**N(E_F)**: 6.84 states/eV/cell

Unit cell a=3.468 b=4.091 c=11.971 alpha=90.00 beta=90.00 gamma=90.00
Space group Pmmn (No. 59, origin choice 2)
Symmetry-distinct sites (fractional):
La  0.250  0.250  0.119 (multiplicity 2)
Zr  0.250  0.250  0.429 (multiplicity 2)
Tl  0.250  0.250  0.703 (multiplicity 2)

***

Run x
Entry from the Alexandria database: a relaxed structure of LaZrTl (PBE).

Values from the calculation:
**Magnetic moment**: 1.56 μB per formula unit
**Calculated density**: 7.39 Mg/m³
**Crystal system**: cubic
**N(E_F)**: 16.16 states/eV/cell

Unit cell a=7.310 b=7.310 c=7.310 alpha=90.00 beta=90.00 gamma=90.00
Space group F-43m (No. 216)
Symmetry-distinct sites (fractional):
La  0.000  0.000  0.000 (multiplicity 4)
Zr  0.000  0.000  0.500 (multiplicity 4)
Tl  0.250  0.250  0.750 (multiplicity 4)

***

Run y
Entry from the Alexandria database: a relaxed structure of LaZrTl (PBE).

Values from the calculation:
**Magnetic moment**: 0.00 μB per formula unit
**Calculated density**: 8.63 Mg/m³
**Crystal system**: tetragonal
**N(E_F)**: 7.52 states/eV/cell

Unit cell a=3.432 b=3.432 c=14.203 alpha=90.00 beta=90.00 gamma=90.00
Space group I4mm (No. 107)
Symmetry-distinct sites (fractional):
La  0.000  0.000  0.000 (multiplicity 2)
Zr  0.000  0.000  0.681 (multiplicity 2)
Tl  0.000  0.000  0.324 (multiplicity 2)

***

Run z
Entry from the Alexandria database: a relaxed structure of LaZrTl (PBE).

Values from the calculation:
**Magnetic moment**: 2.05 μB per formula unit
**Calculated density**: 7.17 Mg/m³
**Crystal system**: cubic
**N(E_F)**: 16.27 states/eV/cell

Unit cell a=7.384 b=7.384 c=7.384 alpha=90.00 beta=90.00 gamma=90.00
Space group F-43m (No. 216)
Symmetry-distinct sites (fractional):
La  0.000  0.000  0.000 (multiplicity 4)
Zr  0.250  0.250  0.750 (multiplicity 4)
Tl  0.250  0.250  0.250 (multiplicity 4)

***

Most stable one: run w, least stable one: run z.

***

Run w
Entry from the Alexandria database: a relaxed structure of LaZrTl (PBE).

Values from the calculation:
**Magnetic moment**: 0.00 μB per formula unit
**Calculated density**: 8.46 Mg/m³
**Crystal system**: trigonal
**N(E_F)**: 4.45 states/eV/cell

Unit cell a=5.2787 b=5.2787 c=3.5334 alpha=90.00 beta=90.00 gamma=120.00
Space group P3m1 (No. 156)
Symmetry-distinct sites (fractional):
La  0.0000  0.0000  0.0000 (multiplicity 1)
Zr  0.3333  0.6667  0.5017 (multiplicity 1)
Tl  0.6667  0.3333  0.4974 (multiplicity 1)

***

Run x
Entry from the Alexandria database: a relaxed structure of LaZrTl (PBE).

Values from the calculation:
**Magnetic moment**: 0.00 μB per formula unit
**Calculated density**: 8.56 Mg/m³
**Crystal system**: orthorhombic
**N(E_F)**: 8.48 states/eV/cell

Unit cell a=3.515 b=4.239 c=11.312 alpha=90.00 beta=90.00 gamma=90.00
Space group Imm2 (No. 44)
Symmetry-distinct sites (fractional):
La  0.000  0.000  0.000 (multiplicity 2)
Zr  0.000  0.000  0.311 (multiplicity 2)
Tl  0.000  0.000  0.687 (multiplicity 2)

***

Most stable one: run x, least stable one: run w.

***

Run w
Entry from the Alexandria database: a relaxed structure of LaZr3Tl (PBE).

Values from the calculation:
**Magnetic moment**: 3.03 μB per formula unit
**Calculated density**: 6.33 Mg/m³
**Crystal system**: cubic
**N(E_F)**: 9.99 states/eV/cell

Unit cell a=5.450 b=5.450 c=5.450 alpha=90.00 beta=90.00 gamma=90.00
Space group Pm-3m (No. 221)
Symmetry-distinct sites (fractional):
La  0.000  0.000  0.000 (multiplicity 1)
Zr  0.000  0.500  0.500 (multiplicity 3)
Tl  0.500  0.500  0.500 (multiplicity 1)

***

Run x
Entry from the Alexandria database: a relaxed structure of LaZr3Tl (PBE).

Values from the calculation:
**Magnetic moment**: 0.00 μB per formula unit
**Calculated density**: 7.44 Mg/m³
**Crystal system**: cubic
**N(E_F)**: 2.26 states/eV/cell

Unit cell a=5.164 b=5.164 c=5.164 alpha=90.00 beta=90.00 gamma=90.00
Space group Pm-3m (No. 221)
Symmetry-distinct sites (fractional):
La  0.000  0.000  0.000 (multiplicity 1)
Zr  0.000  0.000  0.500 (multiplicity 3)
Tl  0.500  0.500  0.500 (multiplicity 1)

***

Most stable one: run w, least stable one: run x.

***

Run w
Entry from the Alexandria database: a relaxed structure of LaTm (PBE).

Values from the calculation:
**Magnetic moment**: 0.00 μB per formula unit
**Calculated density**: 7.72 Mg/m³
**Crystal system**: cubic
**N(E_F)**: 49.00 states/eV/cell

Unit cell a=10.194 b=10.194 c=10.194 alpha=90.00 beta=90.00 gamma=90.00
Space group Fd-3m (No. 227, origin choice 2)
Symmetry-distinct sites (fractional):
La  0.000  0.000  0.000 (multiplicity 16)
Tm  0.000  0.000  0.500 (multiplicity 16)

***

Run x
Entry from the Alexandria database: a relaxed structure of LaTm (PBE).

Values from the calculation:
**Magnetic moment**: 0.00 μB per formula unit
**Calculated density**: 7.61 Mg/m³
**Crystal system**: monoclinic
**N(E_F)**: 6.80 states/eV/cell

Unit cell a=3.535 b=5.687 c=6.908 alpha=90.00 beta=104.77 gamma=90.00
Space group P2_1/m (No. 11)
Symmetry-distinct sites (fractional):
La  0.058  0.250  0.116 (multiplicity 2)
Tm  0.315  0.250  0.629 (multiplicity 2)

***

Run y
Entry from the Alexandria database: a relaxed structure of LaTm (PBE).

Values from the calculation:
**Magnetic moment**: 0.00 μB per formula unit
**Calculated density**: 7.66 Mg/m³
**Crystal system**: monoclinic
**N(E_F)**: 10.95 states/eV/cell

Unit cell a=6.234 b=3.596 c=12.086 alpha=90.00 beta=99.83 gamma=90.00
Space group C2/m (No. 12)
Symmetry-distinct sites (fractional):
La  0.121  0.000  0.364 (multiplicity 4)
Tm  0.207  0.500  0.117 (multiplicity 4)

***

Run z
Entry from the Alexandria database: a relaxed structure of LaTm (PBE).

Values from the calculation:
**Magnetic moment**: 0.00 μB per formula unit
**Calculated density**: 7.53 Mg/m³
**Crystal system**: cubic
**N(E_F)**: 2.90 states/eV/cell

Unit cell a=4.078 b=4.078 c=4.078 alpha=90.00 beta=90.00 gamma=90.00
Space group Pm-3m (No. 221)
Symmetry-distinct sites (fractional):
La  0.000  0.000  0.000 (multiplicity 1)
Tm  0.500  0.500  0.500 (multiplicity 1)

***

Most stable one: run w, least stable one: run x.